Here is NbOsI3 after structural relaxation from the Alexandria database. Energies are from PBE.

Values from the calculation:
Offset from the most stable computed form   0.000 eV/atom
Crystal system   cubic
Formation energy without anion corrections   1.327 eV/atom

```
data_NbOsI3
_symmetry_space_group_name_H-M 'P m -3 m'
_symmetry_Int_Tables_number 221
_symmetry_space_group_name_Hall '-P 4 2 3'
_cell_length_a 5.3590
_cell_length_b 5.3590
_cell_length_c 5.3590
_cell_angle_alpha 90.00
_cell_angle_beta 90.00
_cell_angle_gamma 90.00
loop_
_atom_site_label
_atom_site_type_symbol
_atom_site_fract_x
_atom_site_fract_y
_atom_site_fract_z
Nb1 Nb 0.0000 0.0000 0.0000
Os1 Os 0.5000 0.5000 0.5000
I1 I 0.0000 0.5000 0.5000
```